# NbZnCo2H (PBE, optimized geometry)
# crystal system	tetragonal
# D(E_F)	0.962	states/eV/atom
# space group	P4/mmm, No. 123
# E_tot	-5.766	eV/atom
# size of the total moment	0.0	μB/cell
data_NbZnCo2H
_chemical_formula_sum 'Nb1 Zn1 Co2 H1'
_symmetry_space_group_name_H-M 'P 1'
_symmetry_Int_Tables_number 1
_symmetry_space_group_name_Hall 'P 1'
_cell_length_a 3.7967
_cell_length_b 3.7967
_cell_length_c 3.8202
_cell_angle_alpha 90.00
_cell_angle_beta 90.00
_cell_angle_gamma 90.00
loop_
_atom_site_label
_atom_site_type_symbol
_atom_site_fract_x
_atom_site_fract_y
_atom_site_fract_z
Nb1 Nb 0.0000 0.0000 0.0000
Zn1 Zn 0.5000 0.5000 0.0000
Co1 Co 0.0000 0.5000 0.5000
Co2 Co 0.5000 0.0000 0.5000
H1 H 0.0000 0.0000 0.5000


# GaAsN2F (PBE, optimized geometry)
# crystal system	tetragonal
# D(E_F)	0.378	states/eV/atom
# space group	P4/mmm, No. 123
# E_tot	-4.753	eV/atom
# size of the total moment	0.0	μB/cell
# formation energy (no corrections)	487	meV per atom
data_GaAsN2F
_chemical_formula_sum 'Ga1 As1 N2 F1'
_symmetry_space_group_name_H-M 'P 1'
_symmetry_Int_Tables_number 1
_symmetry_space_group_name_Hall 'P 1'
_cell_length_a 3.9389
_cell_length_b 3.9389
_cell_length_c 3.7868
_cell_angle_alpha 90.00
_cell_angle_beta 90.00
_cell_angle_gamma 90.00
loop_
_atom_site_label
_atom_site_type_symbol
_atom_site_fract_x
_atom_site_fract_y
_atom_site_fract_z
Ga1 Ga 0.0000 0.0000 0.0000
As1 As 0.5000 0.5000 0.5000
N1 N 0.0000 0.5000 0.0000
N2 N 0.5000 0.0000 0.0000
F1 F 0.0000 0.0000 0.5000


Number 1: energy above the most stable polymorph in this dataset 0.000 eV/atom, V 55 Å³/cell. Number 2: energy above the most stable polymorph in this dataset 0.000 eV/atom, V 59 Å³/cell.